(1)
Compound: LuMgInSn
Source: Alexandria
Functional: PBE-GGA
Structure: optimized geometry

Calculated values
Final energy in eV per atom: -3.44
Total moment in μB per formula unit: 0.0
Formation energy in meV per atom: -229

CIF file:
```
data_LuMgInSn
_symmetry_space_group_name_H-M 'F -4 3 m'
_symmetry_Int_Tables_number 216
_symmetry_space_group_name_Hall 'F -4 2 3'
_cell_length_a 7.360
_cell_length_b 7.360
_cell_length_c 7.360
_cell_angle_alpha 90.00
_cell_angle_beta 90.00
_cell_angle_gamma 90.00
loop_
_atom_site_label
_atom_site_type_symbol
_atom_site_fract_x
_atom_site_fract_y
_atom_site_fract_z
_atom_site_occupancy
Lu1 Lu 0.000 0.000 0.000 1
Mg1 Mg 0.000 0.000 0.500 1
In1 In 0.250 0.250 0.750 1
Sn1 Sn 0.250 0.250 0.250 1
```

***

(2)
Compound: TbLuMgIn
Source: Alexandria
Functional: PBE-GGA
Structure: optimized geometry

Calculated values
Final energy in eV per atom: -3.67
Total moment in μB per formula unit: 0.0
Formation energy in meV per atom: -296

CIF file:
```
data_TbLuMgIn
_symmetry_space_group_name_H-M 'F -4 3 m'
_symmetry_Int_Tables_number 216
_symmetry_space_group_name_Hall 'F -4 2 3'
_cell_length_a 7.458
_cell_length_b 7.458
_cell_length_c 7.458
_cell_angle_alpha 90.00
_cell_angle_beta 90.00
_cell_angle_gamma 90.00
loop_
_atom_site_label
_atom_site_type_symbol
_atom_site_fract_x
_atom_site_fract_y
_atom_site_fract_z
_atom_site_occupancy
Tb1 Tb 0.000 0.000 0.000 1
Lu1 Lu 0.000 0.000 0.500 1
Mg1 Mg 0.250 0.250 0.250 1
In1 In 0.250 0.250 0.750 1
```

***

(3)
Compound: TmLuMgIn
Source: Alexandria
Functional: PBE-GGA
Structure: optimized geometry

Calculated values
Final energy in eV per atom: -3.61
Total moment in μB per formula unit: 0.0
Formation energy in meV per atom: -275

CIF file:
```
data_TmLuMgIn
_symmetry_space_group_name_H-M 'F -4 3 m'
_symmetry_Int_Tables_number 216
_symmetry_space_group_name_Hall 'F -4 2 3'
_cell_length_a 7.399
_cell_length_b 7.399
_cell_length_c 7.399
_cell_angle_alpha 90.00
_cell_angle_beta 90.00
_cell_angle_gamma 90.00
loop_
_atom_site_label
_atom_site_type_symbol
_atom_site_fract_x
_atom_site_fract_y
_atom_site_fract_z
_atom_site_occupancy
Tm1 Tm 0.000 0.000 0.000 1
Lu1 Lu 0.000 0.000 0.500 1
Mg1 Mg 0.250 0.250 0.250 1
In1 In 0.250 0.250 0.750 1
```